# 1
Density functional theory data (GGA-PBE) for a relaxed structure of K2SrRhO4.

Computed properties:
**Crystal system**: tetragonal
**Symmetry**: I-4 (82)
**V**: 17.74 Å³ per atom
**E_form (uncorrected)**: -1.465 eV/atom
**Magnetization**: 0.3746 μB per atom

Lattice parameters (Å, degrees): 6.306 6.306 7.138 90.00 90.00 90.00
Fractional positions:
K 0.000 0.000 0.000
K 0.000 0.500 0.250
K 0.500 0.000 0.750
K 0.500 0.500 0.500
Sr 0.000 0.000 0.500
Sr 0.500 0.500 0.000
Rh 0.000 0.500 0.750
Rh 0.500 0.000 0.250
O 0.182 0.257 0.715
O 0.243 0.682 0.785
O 0.257 0.818 0.285
O 0.318 0.243 0.215
O 0.682 0.757 0.215
O 0.743 0.182 0.285
O 0.757 0.318 0.785
O 0.818 0.743 0.715



# 2
Density functional theory data (GGA-PBE) for a relaxed structure of Sc3BiTe2.

Computed properties:
**Crystal system**: orthorhombic
**Symmetry**: Immm (71)
**V**: 26.17 Å³ per atom
**E_form (uncorrected)**: -0.967 eV/atom
**Magnetization**: 0.0000 μB per atom

Lattice parameters (Å, degrees): 4.193 5.940 12.611 90.00 90.00 90.00
Fractional positions:
Sc 0.000 0.000 0.000
Sc 0.000 0.000 0.332
Sc 0.000 0.000 0.668
Sc 0.500 0.500 0.168
Sc 0.500 0.500 0.500
Sc 0.500 0.500 0.832
Bi 0.000 0.500 0.000
Bi 0.500 0.000 0.500
Te 0.000 0.500 0.334
Te 0.000 0.500 0.666
Te 0.500 0.000 0.166
Te 0.500 0.000 0.834